(1)
{
  "formula": "TmTh3Cd7",
  "functional": "PBE",
  "state": "optimized geometry",
  "cell": [[-2.534, -2.023, 0.928], [1.315, -3.702, -10.608], [10.229, -10.544, 4.949]],
  "species": ["Cd", "Cd", "Cd", "Cd", "Cd", "Cd", "Th", "Cd", "Tm", "Th", "Cd", "Cd", "Th", "Th", "Cd", "Th", "Cd", "Tm", "Cd", "Cd", "Th", "Cd"],
  "fractional_positions": [[0.491, 0.982, 0.088], [0.401, 0.803, 0.750], [0.263, 0.527, 0.071], [0.263, 0.527, 0.429], [0.509, 0.018, 0.912], [0.629, 0.257, 0.657], [0.118, 0.235, 0.045], [0.509, 0.018, 0.588], [0.025, 0.051, 0.750], [0.746, 0.492, 0.250], [0.737, 0.473, 0.571], [0.629, 0.257, 0.843], [0.254, 0.508, 0.750], [0.882, 0.765, 0.955], [0.491, 0.982, 0.412], [0.118, 0.235, 0.455], [0.599, 0.197, 0.250], [0.975, 0.949, 0.250], [0.371, 0.743, 0.157], [0.371, 0.743, 0.343], [0.882, 0.765, 0.545], [0.737, 0.473, 0.929]],
  "sg": "Cmcm, No. 63",
  "density_g_cm3": 9.4
}

=====

(2)
{
  "formula": "TmThCd2",
  "functional": "PBE",
  "state": "optimized geometry",
  "cell": [[-0.370, 0.085, -3.451], [3.394, -0.628, -0.379], [-1.597, -8.608, -0.042]],
  "species": ["Cd", "Cd", "Tm", "Th"],
  "fractional_positions": [[0.000, 0.000, 0.233], [0.000, 0.000, 0.767], [0.500, 0.500, 0.000], [0.500, 0.500, 0.500]],
  "sg": "P4/mmm, No. 123",
  "density_g_cm3": 9.8
}

=====

(3)
{
  "formula": "Tm2Th2Cd",
  "functional": "PBE",
  "state": "optimized geometry",
  "cell": [[3.534, 0.000, -0.567], [-0.091, 3.532, -0.567], [0.052, 0.053, 11.619]],
  "species": ["Cd", "Tm", "Th", "Tm", "Th"],
  "fractional_positions": [[0.000, 0.000, 0.000], [0.588, 0.588, 0.176], [0.196, 0.196, 0.391], [0.412, 0.412, 0.824], [0.804, 0.804, 0.609]],
  "sg": "I4/mmm, No. 139",
  "density_g_cm3": 10.5
}

=====

(4)
{
  "formula": "Tm3ThCd4",
  "functional": "PBE",
  "state": "optimized geometry",
  "cell": [[-2.669, -0.601, 4.428], [2.263, -7.371, 0.364], [8.400, 2.849, 5.449]],
  "species": ["Cd", "Th", "Tm", "Th", "Tm", "Cd", "Tm", "Cd", "Cd", "Cd", "Tm", "Cd", "Cd", "Cd", "Tm", "Tm"],
  "fractional_positions": [[0.500, 0.763, 0.000], [0.000, 0.500, 0.000], [0.500, 0.000, 0.750], [0.000, 0.500, 0.500], [0.500, 0.500, 0.750], [0.500, 0.237, 0.000], [0.000, 0.000, 0.500], [0.000, 0.763, 0.750], [0.000, 0.763, 0.250], [0.500, 0.237, 0.500], [0.000, 0.000, 0.000], [0.000, 0.237, 0.250], [0.500, 0.763, 0.500], [0.000, 0.237, 0.750], [0.500, 0.500, 0.250], [0.500, 0.000, 0.250]],
  "sg": "P4/mmm, No. 123",
  "density_g_cm3": 9.4
}

=====

(5)
{
  "formula": "Tm5ThCd6",
  "functional": "PBE",
  "state": "optimized geometry",
  "cell": [[-3.359, -3.648, 1.604], [5.751, -4.022, 2.894], [-2.009, 7.584, 4.577]],
  "species": ["Cd", "Tm", "Cd", "Cd", "Cd", "Th", "Cd", "Tm", "Cd", "Tm", "Tm", "Tm"],
  "fractional_positions": [[0.500, 0.732, 0.000], [0.662, 0.162, 0.323], [0.829, 0.568, 0.658], [0.500, 0.268, 0.000], [0.171, 0.910, 0.342], [0.000, 0.000, 0.000], [0.829, 0.090, 0.658], [0.338, 0.838, 0.677], [0.171, 0.432, 0.342], [0.669, 0.669, 0.339], [0.000, 0.500, 0.000], [0.331, 0.331, 0.661]],
  "sg": "Immm, No. 71",
  "density_g_cm3": 9.4
}

=====

(6)
{
  "formula": "TmThCd",
  "functional": "PBE",
  "state": "optimized geometry",
  "cell": [[3.608, 0.000, 0.000], [0.000, 5.282, 0.000], [0.000, -2.641, 4.574]],
  "species": ["Th", "Tm", "Cd"],
  "fractional_positions": [[0.999, 0.000, 0.000], [0.498, 0.333, 0.667], [0.503, 0.667, 0.333]],
  "sg": "P3m1, No. 156",
  "density_g_cm3": 9.8
}

=====

(7)
{
  "formula": "TmThCd2",
  "functional": "PBE",
  "state": "optimized geometry",
  "cell": [[-3.429, 0.245, -0.442], [-1.393, -0.601, -3.116], [-2.657, -10.383, 1.263]],
  "species": ["Cd", "Th", "Tm", "Cd"],
  "fractional_positions": [[0.254, 0.254, 0.237], [0.500, 0.500, 0.500], [0.000, 0.000, 0.000], [0.746, 0.746, 0.763]],
  "sg": "R-3m, No. 166",
  "density_g_cm3": 9.4
}

=====

(8)
{
  "formula": "TmThCd2",
  "functional": "PBE",
  "state": "optimized geometry",
  "cell": [[-2.412, -4.295, -2.090], [1.526, -1.865, -4.778], [2.633, -4.645, -0.342]],
  "species": ["Tm", "Cd", "Cd", "Th"],
  "fractional_positions": [[0.500, 0.500, 0.500], [0.250, 0.250, 0.250], [0.750, 0.750, 0.750], [0.000, 0.000, 0.000]],
  "sg": "Fm-3m, No. 225",
  "density_g_cm3": 9.6
}

=====

| no. | calculated formation energy (meV/atom) | E_tot (eV per cell) | total magnetic moment (μB per cell) |
| --- | --- | --- | --- |
| 1 | -69 | -67.8 | 0.0 |
| 2 | -191 | -14.5 | 0.0 |
| 3 | -121 | -25.3 | 0.0 |
| 4 | -229 | -52.7 | 0.0 |
| 5 | -255 | -38.3 | 0.0 |
| 6 | 34 | -12.7 | 0.0 |
| 7 | -67 | -14.0 | 0.0 |
| 8 | -157 | -14.3 | 0.0 |